[1]
A relaxed structure of LaAuSeO, computed with PBE.

Lattice parameters (Å, degrees): 4.1650 4.1650 9.6188 90.00 90.00 90.25
Closest atoms and distances in Å follow each position.
Atoms (fractional coordinates):
Au 0.8731 0.1269 0.5000  2 Se 2.52
La 0.1222 0.3778 0.1248  4 O 2.40
O 0.6221 0.3779 0.0000  4 La 2.40
La 0.6222 0.8778 0.8752  4 O 2.40
Se 0.1229 0.3771 0.7124  2 Au 2.52
Au 0.3731 0.6269 0.5000  2 Se 2.52
O 0.1221 0.8779 0.0000  4 La 2.40
Se 0.6229 0.8771 0.2876  2 Au 2.52

theoretical density: 8.58 Mg/m³
E: -49.081 eV per cell



[2]
A relaxed structure of LaAuSeO, computed with PBE.

Lattice parameters (Å, degrees): 5.9054 5.8885 9.5531 90.00 90.00 90.00
Closest atoms and distances in Å follow each position.
Atoms (fractional coordinates):
Se 0.5000 0.5000 0.7132  2 Au 2.51
Au 0.9887 0.2499 0.5001  2 Se 2.51
Au 0.5113 0.7499 0.5001  2 Se 2.51
O 0.2504 0.2500 0.0000  4 La 2.40-2.41
Se 0.0000 0.5000 0.2870  2 Au 2.51
Se 0.5000 0.0000 0.2870  2 Au 2.51
O 0.2496 0.7500 0.0000  4 La 2.40-2.41
La 0.5000 0.5000 0.1250  4 O 2.40
O 0.7504 0.2500 0.0000  4 La 2.40-2.41
La 0.0000 0.0000 0.1250  4 O 2.40
Au 0.4887 0.2501 0.5001  2 Se 2.51
La 0.5000 0.0000 0.8747  4 O 2.40-2.41
Au 0.0113 0.7501 0.5001  2 Se 2.51
O 0.7496 0.7500 0.0000  4 La 2.40-2.41
La 0.0000 0.5000 0.8747  4 O 2.40-2.41
Se 0.0000 0.0000 0.7132  2 Au 2.51

theoretical density: 8.61 Mg/m³
E: -98.150 eV per cell